CaLa2Mg: relaxed, PBE.

Lattice parameters (Å, degrees): 3.5638 6.0508 6.4093 90.00 98.53 90.00
With the nearest neighbours (Å) after each atom.
Atoms (fractional coordinates):
Ca  0.0000  0.0000  0.0000  2 Mg 3.43, 2 Ca 3.56, 4 La 3.73
La  0.2791  0.5000  0.7196  4 La 3.20-3.56, 2 Mg 3.48
La  0.7209  0.5000  0.2804  4 La 3.20-3.56, 2 Mg 3.48
Mg  0.5000  0.0000  0.5000  2 Ca 3.43, 4 La 3.48, 2 Mg 3.56

## Properties
The calculation puts the spin magnetization at 0.000 μB/atom. Its crystal system is monoclinic. The calculation puts the raw total energy at -13.3 eV/cell.

---

Sr2TlAg: relaxed, PBE.

Lattice parameters (Å, degrees): 7.3207 7.3207 7.3207 105.76 105.76 117.18
With the nearest neighbours (Å) after each atom.
Atoms (fractional coordinates):
Sr  0.1026  0.6250  0.9776  2 Ag 3.14, 2 Tl 3.40
Sr  0.3750  0.3526  0.4776  2 Ag 3.14, 2 Tl 3.40
Sr  0.6474  0.1250  0.0224  2 Ag 3.14, 2 Tl 3.40
Sr  0.8750  0.8974  0.5224  2 Ag 3.14, 2 Tl 3.40
Tl  0.2500  0.7500  0.5000  4 Sr 3.40
Tl  0.5000  0.5000  0.0000  4 Sr 3.40
Ag  0.0000  0.0000  0.0000  4 Sr 3.14
Ag  0.7500  0.2500  0.5000  4 Sr 3.14

## Properties
The calculation puts the spin magnetization at 0.000 μB/atom. Its crystal system is tetragonal. The calculation puts the raw total energy at -17.7 eV/cell.

---

CeDyCoI: relaxed, PBE.

Lattice parameters (Å, degrees): 8.2597 8.2597 8.2597 27.72 27.72 27.72
With the nearest neighbours (Å) after each atom.
Atoms (fractional coordinates):
Ce  0.0000  0.0000  0.0000  3 Co 2.62
Dy  0.2145  0.2145  0.2145  3 Co 2.77
Co  0.6133  0.6133  0.6133  3 Ce 2.62, 3 Dy 2.77
I  0.4430  0.4430  0.4430  3 Dy 3.38, 3 Ce 3.47

## Properties
For the energy relative to the elements, uncorrected, the calculation gives -0.587 eV/atom. The calculation puts the spin magnetization at 0.116 μB/atom. Its crystal system is trigonal.

---

Ti3PtN: relaxed, PBE.

Lattice parameters (Å, degrees): 3.7130 3.7130 13.3518 90.00 90.00 120.00
With the nearest neighbours (Å) after each atom.
Atoms (fractional coordinates):
Ti  0.0000  0.0000  0.2500  3 N 2.14
Ti  0.0000  0.0000  0.7500  3 N 2.14
Ti  0.3333  0.6667  0.1021  1 N 1.97
Ti  0.3333  0.6667  0.3979  1 N 1.97
Ti  0.6667  0.3333  0.6021  1 N 1.97
Ti  0.6667  0.3333  0.8979  1 N 1.97
Pt  0.0000  0.0000  0.0000  6 Ti 2.54
Pt  0.0000  0.0000  0.5000  6 Ti 2.54
N  0.3333  0.6667  0.2500  5 Ti 1.97-2.14
N  0.6667  0.3333  0.7500  5 Ti 1.97-2.14

## Properties
For the energy relative to the elements, uncorrected, the calculation gives -0.797 eV/atom. The calculation puts the spin magnetization at 0.000 μB/atom. Its crystal system is hexagonal.

---

FeAsIr2: relaxed, PBE.

Lattice parameters (Å, degrees): 4.5517 4.5517 4.5517 127.64 127.64 77.22
With the nearest neighbours (Å) after each atom.
Atoms (fractional coordinates):
Fe  0.0000  0.0000  0.0000  8 Ir 2.68, 4 As 2.84
As  0.5000  0.5000  0.0000  8 Ir 2.68, 4 Fe 2.84
Ir  0.2500  0.7500  0.5000  4 As 2.68, 4 Fe 2.68, 4 Ir 2.84
Ir  0.7500  0.2500  0.5000  4 As 2.68, 4 Fe 2.68, 4 Ir 2.84

## Properties
The calculation puts the spin magnetization at 0.888 μB/atom. Its crystal system is tetragonal. The calculation puts the raw total energy at -30.4 eV/cell.

---

La7Ge2Au2: relaxed, PBE.

Lattice parameters (Å, degrees): 6.9974 6.9974 7.2859 90.00 90.00 106.44
With the nearest neighbours (Å) after each atom.
Atoms (fractional coordinates):
La  0.0000  0.0000  0.0000  2 Au 3.19
La  0.0000  0.5000  0.2922  2 Au 3.01, 1 La 3.03, 2 Ge 3.28
La  0.0000  0.5000  0.7078  2 Au 3.01, 1 La 3.03, 2 Ge 3.28
La  0.5000  0.0000  0.2922  2 Au 3.01, 1 La 3.03, 2 Ge 3.28
La  0.5000  0.0000  0.7078  2 Au 3.01, 1 La 3.03, 2 Ge 3.28
La  0.5000  0.5000  0.2878  1 La 3.09, 2 Au 3.20, 2 Ge 3.26
La  0.5000  0.5000  0.7122  1 La 3.09, 2 Au 3.20, 2 Ge 3.26
Ge  0.1581  0.1581  0.5000  1 Ge 2.65
Ge  0.8419  0.8419  0.5000  1 Ge 2.65
Au  0.2845  0.7155  0.0000  7 La 3.01-3.20
Au  0.7155  0.2845  0.0000  7 La 3.01-3.20

## Properties
The calculation puts the spin magnetization at 0.000 μB/atom. Its crystal system is orthorhombic. The calculation puts the raw total energy at -54.7 eV/cell.

---

CsCuPdCl6: relaxed, PBE.

Lattice parameters (Å, degrees): 6.3885 6.3885 6.9677 99.05 99.05 103.85
With the nearest neighbours (Å) after each atom.
Atoms (fractional coordinates):
Cs  0.0000  0.0000  0.0000  8 Cl 3.51-3.78
Cu  0.2064  0.7936  0.5000  4 Cl 2.23-2.35
Pd  0.5508  0.4492  0.5000  6 Cl 2.33-2.47
Cl  0.2673  0.1580  0.5811  1 Cu 2.23, 1 Pd 2.47
Cl  0.2858  0.5341  0.2640  1 Cu 2.35, 1 Pd 2.39
Cl  0.4659  0.7142  0.7360  1 Cu 2.35, 1 Pd 2.39
Cl  0.6005  0.1827  0.2557  1 Pd 2.33
Cl  0.8173  0.3995  0.7443  1 Pd 2.33
Cl  0.8420  0.7327  0.4189  1 Cu 2.23, 1 Pd 2.47

## Properties
For the energy relative to the elements, uncorrected, the calculation gives -0.795 eV/atom. The calculation puts the spin magnetization at 0.000 μB/atom. Its crystal system is monoclinic.

---

PmTmAg2Se4: relaxed, PBE.

Lattice parameters (Å, degrees): 6.8884 4.2063 7.2834 90.00 110.44 90.00
With the nearest neighbours (Å) after each atom.
Atoms (fractional coordinates):
Pm  0.0000  0.0000  0.0000  6 Se 2.94-2.95
Tm  0.0000  0.5000  0.5000  6 Se 2.86-2.88
Ag  0.5000  0.0000  0.5000  6 Se 2.87-2.90
Ag  0.5000  0.5000  0.0000  6 Se 2.96
Se  0.2456  0.0000  0.7399  3 Ag 2.87-2.96, 2 Tm 2.88, 1 Pm 2.95
Se  0.2486  0.5000  0.2573  1 Tm 2.86, 3 Ag 2.90-2.96, 2 Pm 2.94
Se  0.7514  0.5000  0.7427  1 Tm 2.86, 3 Ag 2.90-2.96, 2 Pm 2.94
Se  0.7544  0.0000  0.2601  3 Ag 2.87-2.96, 2 Tm 2.88, 1 Pm 2.95

## Properties
For the energy relative to the elements, uncorrected, the calculation gives -1.152 eV/atom. The calculation puts the spin magnetization at 0.000 μB/atom. Its crystal system is monoclinic.

---

Sr2ZrBr: relaxed, PBE.

Lattice parameters (Å, degrees): 3.6676 3.6676 9.7678 90.00 90.00 90.10
With the nearest neighbours (Å) after each atom.
Atoms (fractional coordinates):
Sr  0.0000  0.0000  0.2387  4 Br 3.49, 4 Zr 3.64, 4 Sr 3.67
Sr  0.0000  0.0000  0.7613  4 Br 3.49, 4 Zr 3.64, 4 Sr 3.67
Zr  0.5000  0.5000  0.5000  8 Sr 3.64, 4 Zr 3.67
Br  0.5000  0.5000  0.0000  8 Sr 3.49, 4 Br 3.67

## Properties
For the energy relative to the elements, uncorrected, the calculation gives -0.381 eV/atom. The calculation puts the spin magnetization at 0.000 μB/atom. Its crystal system is orthorhombic. For the energy above the most stable polymorph in this dataset, the calculation gives 0 meV per atom.

---

KCu2Os: relaxed, PBE.

Lattice parameters (Å, degrees): 5.9487 5.9487 5.9487 155.08 129.68 56.95
With the nearest neighbours (Å) after each atom.
Atoms (fractional coordinates):
K  0.0000  0.0000  0.0000  2 K 2.57, 4 Cu 2.84
Cu  0.5085  0.5085  0.0000  4 Cu 2.57-2.58, 2 Os 2.61, 4 K 2.84
Cu  0.7225  0.2225  0.5000  4 Cu 2.57-2.58
Os  0.2916  0.7916  0.5000  2 Os 2.57, 2 Cu 2.61

## Properties
The calculation puts the spin magnetization at 0.000 μB/atom. Its crystal system is orthorhombic. For the energy above the most stable polymorph in this dataset, the calculation gives 209 meV per atom.

---

SrTi3Re: relaxed, PBE.

Lattice parameters (Å, degrees): 4.9155 4.9155 4.9155 90.00 90.00 90.00
With the nearest neighbours (Å) after each atom.
Atoms (fractional coordinates):
Sr  0.0000  0.0000  0.0000  12 Ti 3.48
Ti  0.0000  0.5000  0.5000  2 Re 2.46
Ti  0.5000  0.0000  0.5000  2 Re 2.46
Ti  0.5000  0.5000  0.0000  2 Re 2.46
Re  0.5000  0.5000  0.5000  6 Ti 2.46

## Properties
The calculation puts the spin magnetization at 0.202 μB/atom. Its crystal system is cubic. For the energy above the most stable polymorph in this dataset, the calculation gives 0 meV per atom.

---

Ni8SbRh2: relaxed, PBE.

Lattice parameters (Å, degrees): 6.1447 6.1447 4.0180 90.07 90.07 105.18
With the nearest neighbours (Å) after each atom.
Atoms (fractional coordinates):
Ni  0.0300  0.3034  0.5007  7 Ni 2.49-2.74, 2 Rh 2.49-2.62, 2 Sb 2.71
Ni  0.2485  0.7515  0.0000  2 Rh 2.35, 1 Sb 2.43, 4 Ni 2.60
Ni  0.3034  0.0300  0.5007  7 Ni 2.49-2.74, 2 Rh 2.49-2.62, 2 Sb 2.71
Ni  0.3383  0.3383  0.9994  1 Ni 2.41, 1 Sb 2.53, 4 Rh 2.65
Ni  0.6617  0.6617  0.0006  1 Ni 2.41, 1 Sb 2.53, 4 Rh 2.65
Ni  0.6966  0.9700  0.4993  7 Ni 2.49-2.74, 2 Rh 2.49-2.62, 2 Sb 2.71
Ni  0.7515  0.2485  0.0000  2 Rh 2.35, 1 Sb 2.43, 4 Ni 2.60
Ni  0.9700  0.6966  0.4993  7 Ni 2.49-2.74, 2 Rh 2.49-2.62, 2 Sb 2.71
Sb  0.0000  0.0000  0.0000  12 Ni 2.43-2.71
Rh  0.3734  0.6266  0.5000  6 Ni 2.35-2.62, 1 Rh 2.47
Rh  0.6266  0.3734  0.5000  6 Ni 2.35-2.62, 1 Rh 2.47

## Properties
For the energy relative to the elements, uncorrected, the calculation gives 0.191 eV/atom. The calculation puts the spin magnetization at 0.382 μB/atom. Its crystal system is monoclinic.

---

Dy3Er2Tl4: relaxed, PBE.

Lattice parameters (Å, degrees): 8.5686 8.5686 9.5648 90.00 90.00 130.68
With the nearest neighbours (Å) after each atom.
Atoms (fractional coordinates):
Dy  0.0000  0.0000  0.0000  6 Tl 2.99-3.05
Dy  0.0383  0.4617  0.2500  5 Tl 3.12-3.24
Dy  0.4617  0.0383  0.7500  5 Tl 3.12-3.24
Dy  0.5000  0.5000  0.5000  6 Tl 2.99-3.05
Dy  0.5383  0.9617  0.2500  5 Tl 3.12-3.24
Dy  0.9617  0.5383  0.7500  5 Tl 3.12-3.24
Er  0.1080  0.8920  0.4445  3 Tl 3.17-3.18, 1 Er 3.53
Er  0.3920  0.6080  0.9445  3 Tl 3.17-3.18, 1 Er 3.53
Er  0.6080  0.3920  0.0555  3 Tl 3.17-3.18, 1 Er 3.53
Er  0.8920  0.1080  0.5555  3 Tl 3.17-3.18, 1 Er 3.53
Tl  0.1949  0.8051  0.0309  5 Dy 3.05-3.24, 1 Er 3.18
Tl  0.2396  0.2604  0.2500  3 Dy 2.99-3.13, 2 Er 3.17
Tl  0.2604  0.2396  0.7500  3 Dy 2.99-3.13, 2 Er 3.17
Tl  0.3051  0.6949  0.5309  5 Dy 3.05-3.24, 1 Er 3.18
Tl  0.6949  0.3051  0.4691  5 Dy 3.05-3.24, 1 Er 3.18
Tl  0.7396  0.7604  0.2500  3 Dy 2.99-3.13, 2 Er 3.17
Tl  0.7604  0.7396  0.7500  3 Dy 2.99-3.13, 2 Er 3.17
Tl  0.8051  0.1949  0.9691  5 Dy 3.05-3.24, 1 Er 3.18

## Properties
The calculation puts the spin magnetization at 0.000 μB/atom. Its crystal system is orthorhombic. For the energy above the most stable polymorph in this dataset, the calculation gives 95 meV per atom.